# TlCd2Au PBE relaxed
# Total magnetization ... 0.00 μB/atom
# VASP energy ... -1.85 eV/atom
# Energy relative to the lowest polymorph listed for this composition ... 106 meV/atom
# DFT formation energy ... 14 meV per atom
data_TlCd2Au
_symmetry_space_group_name_H-M 'C m m m'
_symmetry_Int_Tables_number 65
_symmetry_space_group_name_Hall '-C 2 2'
_cell_length_a 6.006
_cell_length_b 8.098
_cell_length_c 3.792
_cell_angle_alpha 90.00
_cell_angle_beta 90.00
_cell_angle_gamma 90.00
loop_
_atom_site_label
_atom_site_type_symbol
_atom_site_fract_x
_atom_site_fract_y
_atom_site_fract_z
Tl1 Tl 0.000 0.000 0.000
Cd1 Cd 0.250 0.250 0.500
Au1 Au 0.000 0.500 0.000